The following is a PBE with a Hubbard U calculation of crystalline FePtBrF2 at its relaxed geometry, from Alexandria.

It has space group P4/mmm (No. 123), with a = 3.844 Å, b = 3.844 Å, c = 5.711 Å, α = 90.00°, β = 90.00° and γ = 90.00°. The asymmetric unit holds Fe at (0.000, 0.000, 0.000), Pt at (0.000, 0.000, 0.500), Br at (0.500, 0.500, 0.500) and F at (0.000, 0.500, 0.000).

The value obtained for the total energy is -4.543 eV/atom. Its density of states at the Fermi level is 0.243 states/eV/atom. The total moment comes out at 4.39 μB/f.u.